# Sb2RuW, optimized geometry, DFT PBEsol
# E above lowest polymorph = 536 meV/atom
# Uncorrected formation energy = 0.839 eV/atom
# Uncorrected energy = -7.435 eV/atom
data_Sb2RuW
_space_group_name_H-M_alt 'F -4 3 m'
_space_group_IT_number 216
_space_group_name_Hall 'F -4 2 3'
_cell_length_a 6.6398
_cell_length_b 6.6398
_cell_length_c 6.6398
_cell_angle_alpha 90.00
_cell_angle_beta 90.00
_cell_angle_gamma 90.00
loop_
_atom_site_label
_atom_site_type_symbol
_atom_site_fract_x
_atom_site_fract_y
_atom_site_fract_z
Sb1 Sb 0.0000 0.0000 0.0000
Sb2 Sb 0.2500 0.2500 0.2500
Ru1 Ru 0.0000 0.0000 0.5000
W1 W 0.2500 0.2500 0.7500